P:
{
  "formula": "SmAsO2",
  "functional": "PBE",
  "state": "relaxed",
  "magnetic_moment_mub_per_fu": 0.000,
  "vol_a3_per_fu": 63.5,
  "cell": [[-4.7773, -5.4929, 1.8089], [-6.5212, 3.5821, 0.9534], [4.6552, 0.3411, -5.8719]],
  "species": ["Sm", "Sm", "Sm", "Sm", "As", "As", "As", "As", "O", "O", "O", "O", "O", "O", "O", "O"],
  "fractional_positions": [[0.8750, 0.6250, 0.2500], [0.3750, 0.6250, 0.7500], [0.3750, 0.6250, 0.2500], [0.3750, 0.1250, 0.7500], [0.3750, 0.1250, 0.2500], [0.8750, 0.1250, 0.7500], [0.8750, 0.1250, 0.2500], [0.8750, 0.6250, 0.7500], [0.1710, 0.4188, 0.2478], [0.1710, 0.9232, 0.7522], [0.1688, 0.4210, 0.7478], [0.5790, 0.8312, 0.2522], [0.6732, 0.4210, 0.2522], [0.5790, 0.3268, 0.7478], [0.5812, 0.8290, 0.7522], [0.0768, 0.8290, 0.2478]]
}

---

Q:
{
  "formula": "SmAsO2",
  "functional": "PBE",
  "state": "relaxed",
  "magnetic_moment_mub_per_fu": 0.000,
  "vol_a3_per_fu": 69.4,
  "cell": [[3.4890, 0.0000, 0.0000], [1.7445, 3.0216, 0.0000], [1.7445, 1.0072, 6.5836]],
  "species": ["As", "O", "O", "Sm"],
  "fractional_positions": [[0.5000, 0.5000, 0.5000], [0.1147, 0.1147, 0.6560], [0.8853, 0.8853, 0.3440], [0.0000, 0.0000, 0.0000]]
}

---

Quick one: most stable of them? P

---

P:
{
  "formula": "SnAs3O",
  "functional": "PBE",
  "state": "relaxed",
  "magnetic_moment_mub_per_fu": 2.190,
  "vol_a3_per_fu": 146.9,
  "cell": [[-4.8752, -1.6221, 1.1986], [-0.9874, -0.8145, -5.1183], [1.7587, -4.9539, 0.4490]],
  "species": ["As", "As", "As", "Sn", "O"],
  "fractional_positions": [[0.0000, 0.5000, 0.0000], [0.0000, 0.0000, 0.5000], [0.5000, 0.0000, 0.0000], [0.0000, 0.0000, 0.0000], [0.5000, 0.5000, 0.5000]]
}

---

Q:
{
  "formula": "SnAs3O",
  "functional": "PBE",
  "state": "relaxed",
  "magnetic_moment_mub_per_fu": 0.000,
  "vol_a3_per_fu": 92.8,
  "cell": [[4.5275, 0.0000, 0.0000], [0.0000, 4.5275, 0.0000], [0.0000, 0.0000, 4.5275]],
  "species": ["As", "As", "As", "Sn", "O"],
  "fractional_positions": [[0.0000, 0.5000, 0.0000], [0.0000, 0.0000, 0.5000], [0.5000, 0.0000, 0.0000], [0.5000, 0.5000, 0.5000], [0.0000, 0.0000, 0.0000]]
}

---

Quick one: most stable of them? Q

---

P:
{
  "formula": "Sn2AsO",
  "functional": "PBE",
  "state": "relaxed",
  "magnetic_moment_mub_per_fu": 0.000,
  "vol_a3_per_fu": 77.0,
  "cell": [[1.3139, -3.3862, 3.0994], [-3.1727, -3.2509, 1.4713], [0.3862, -4.5357, -1.4412]],
  "species": ["As", "Sn", "Sn", "O"],
  "fractional_positions": [[0.5000, 0.5000, 0.5000], [0.2500, 0.2500, 0.2500], [0.7500, 0.7500, 0.7500], [0.0000, 0.0000, 0.0000]]
}

---

Q:
{
  "formula": "Sn2AsO",
  "functional": "PBE",
  "state": "relaxed",
  "magnetic_moment_mub_per_fu": 0.000,
  "vol_a3_per_fu": 97.9,
  "cell": [[-4.3860, -1.9837, 2.5303], [-1.6772, -2.2397, -4.6631], [0.3092, -7.6425, 0.3884]],
  "species": ["As", "As", "Sn", "Sn", "Sn", "Sn", "O", "O"],
  "fractional_positions": [[0.0000, 0.0000, 0.0000], [0.7500, 0.2500, 0.5000], [0.5417, 0.1250, 0.2500], [0.2083, 0.6250, 0.2500], [0.3750, 0.4583, 0.7500], [0.8750, 0.7917, 0.7500], [0.5000, 0.5000, 0.0000], [0.2500, 0.7500, 0.5000]]
}

---

Quick one: most stable of them? Q

---

P:
{
  "formula": "SnAsO2",
  "functional": "PBE",
  "state": "relaxed",
  "magnetic_moment_mub_per_fu": 0.000,
  "vol_a3_per_fu": 54.7,
  "cell": [[-1.6040, -0.0888, 3.9463], [-2.9794, -2.8684, 1.0245], [0.9568, -3.2237, 2.6165]],
  "species": ["As", "Sn", "O", "O"],
  "fractional_positions": [[0.0000, 0.0000, 0.0000], [0.5000, 0.5000, 0.5000], [0.2500, 0.2500, 0.2500], [0.7500, 0.7500, 0.7500]]
}

---

Q:
{
  "formula": "SnAsO2",
  "functional": "PBE",
  "state": "relaxed",
  "magnetic_moment_mub_per_fu": 0.000,
  "vol_a3_per_fu": 73.6,
  "cell": [[-2.7585, 3.7869, 2.6805], [-1.6514, -3.7157, 3.5499], [1.8529, 0.9660, 5.9767]],
  "species": ["As", "As", "Sn", "Sn", "O", "O", "O", "O"],
  "fractional_positions": [[0.5000, 0.5000, 0.0000], [0.2500, 0.7500, 0.5000], [0.0000, 0.0000, 0.0000], [0.7500, 0.2500, 0.5000], [0.5559, 0.1250, 0.2500], [0.1941, 0.6250, 0.2500], [0.3750, 0.4441, 0.7500], [0.8750, 0.8059, 0.7500]]
}

---

Quick one: most stable of them? Q

---

P:
{
  "formula": "SnAsO2",
  "functional": "PBE",
  "state": "relaxed",
  "magnetic_moment_mub_per_fu": 0.000,
  "vol_a3_per_fu": 62.0,
  "cell": [[-3.7628, -6.0635, -0.2323], [-1.7045, -6.5771, 2.1942], [-4.4171, -4.9134, 2.7067]],
  "species": ["As", "Sn", "O", "O"],
  "fractional_positions": [[0.5000, 0.5000, 0.5000], [0.0000, 0.0000, 0.0000], [0.8887, 0.8887, 0.8887], [0.1113, 0.1113, 0.1113]]
}

---

Q:
{
  "formula": "SnAsO2",
  "functional": "PBE",
  "state": "relaxed",
  "magnetic_moment_mub_per_fu": 0.000,
  "vol_a3_per_fu": 62.7,
  "cell": [[1.8959, 0.0000, 6.7103], [-0.9480, 1.6419, 6.7103], [-0.9480, -1.6419, 6.7103]],
  "species": ["As", "Sn", "O", "O"],
  "fractional_positions": [[0.0000, 0.0000, 0.0000], [0.5000, 0.5000, 0.5000], [0.8920, 0.8920, 0.8920], [0.1080, 0.1080, 0.1080]]
}

---

Quick one: most stable of them? Q

---

P:
{
  "formula": "SnAs2O9",
  "functional": "PBE",
  "state": "relaxed",
  "magnetic_moment_mub_per_fu": 2.000,
  "vol_a3_per_fu": 221.1,
  "cell": [[-3.2222, -1.1821, -4.5458], [1.2718, -8.2434, 1.2422], [-13.9502, -7.0199, 11.7138]],
  "species": ["Sn", "Sn", "Sn", "Sn", "As", "As", "As", "As", "As", "As", "As", "As", "O", "O", "O", "O", "O", "O", "O", "O", "O", "O", "O", "O", "O", "O", "O", "O", "O", "O", "O", "O", "O", "O", "O", "O", "O", "O", "O", "O", "O", "O", "O", "O", "O", "O", "O", "O"],
  "fractional_positions": [[0.7583, 0.2446, 0.0288], [0.7417, 0.2446, 0.5288], [0.2417, 0.7554, 0.9712], [0.2583, 0.7554, 0.4712], [0.2362, 0.0782, 0.0549], [0.2638, 0.0782, 0.5549], [0.7638, 0.9218, 0.9451], [0.7362, 0.9218, 0.4451], [0.6826, 0.5723, 0.0923], [0.8174, 0.5723, 0.5923], [0.3174, 0.4277, 0.9077], [0.1826, 0.4277, 0.4077], [0.3108, 0.8998, 0.0380], [0.1892, 0.8998, 0.5380], [0.6892, 0.1002, 0.9620], [0.8108, 0.1002, 0.4620], [0.9722, 0.0607, 0.0990], [0.5278, 0.0607, 0.5990], [0.0278, 0.9393, 0.9010], [0.4722, 0.9393, 0.4010], [0.4685, 0.1455, 0.0929], [0.0315, 0.1455, 0.5929], [0.5315, 0.8545, 0.9071], [0.9685, 0.8545, 0.4071], [0.3317, 0.8322, 0.2325], [0.1683, 0.8322, 0.7325], [0.6683, 0.1678, 0.7675], [0.8317, 0.1678, 0.2675], [0.8615, 0.7446, 0.0217], [0.6385, 0.7446, 0.5217], [0.1385, 0.2554, 0.9783], [0.3615, 0.2554, 0.4783], [0.4089, 0.5731, 0.0524], [0.0911, 0.5731, 0.5524], [0.5911, 0.4269, 0.9476], [0.9089, 0.4269, 0.4476], [0.8435, 0.4065, 0.0816], [0.6565, 0.4065, 0.5816], [0.1565, 0.5935, 0.9184], [0.3435, 0.5935, 0.4184], [0.7051, 0.6029, 0.1701], [0.7949, 0.6029, 0.6701], [0.2949, 0.3971, 0.8299], [0.2051, 0.3971, 0.3299], [0.0357, 0.1654, 0.2470], [0.4643, 0.1654, 0.7470], [0.9643, 0.8346, 0.7530], [0.5357, 0.8346, 0.2530]]
}

---

Q:
{
  "formula": "SnAs2O9",
  "functional": "PBE",
  "state": "relaxed",
  "magnetic_moment_mub_per_fu": 0.000,
  "vol_a3_per_fu": 185.6,
  "cell": [[-2.8734, -4.6428, -0.0276], [7.0602, -4.3564, -2.2250], [7.0940, -4.4745, 14.1430]],
  "species": ["Sn", "Sn", "Sn", "Sn", "As", "As", "As", "As", "As", "As", "As", "As", "O", "O", "O", "O", "O", "O", "O", "O", "O", "O", "O", "O", "O", "O", "O", "O", "O", "O", "O", "O", "O", "O", "O", "O", "O", "O", "O", "O", "O", "O", "O", "O", "O", "O", "O", "O"],
  "fractional_positions": [[0.7882, 0.7809, 0.4525], [0.2118, 0.2191, 0.5475], [0.2882, 0.2191, 0.0475], [0.7118, 0.7809, 0.9525], [0.6896, 0.4160, 0.4184], [0.3104, 0.5840, 0.5816], [0.1896, 0.5840, 0.0816], [0.8104, 0.4160, 0.9184], [0.7729, 0.9920, 0.1114], [0.2271, 0.0080, 0.8886], [0.2729, 0.0080, 0.3886], [0.7271, 0.9920, 0.6114], [0.3788, 0.7189, 0.0167], [0.6212, 0.2811, 0.9833], [0.8788, 0.2811, 0.4833], [0.1212, 0.7189, 0.5167], [0.8389, 0.8064, 0.1925], [0.1611, 0.1936, 0.8075], [0.3389, 0.1936, 0.3075], [0.6611, 0.8064, 0.6925], [0.8921, 0.6034, 0.0470], [0.1079, 0.3966, 0.9530], [0.3921, 0.3966, 0.4530], [0.6079, 0.6034, 0.5470], [0.8077, 0.6069, 0.3862], [0.1923, 0.3931, 0.6138], [0.3077, 0.3931, 0.1138], [0.6923, 0.6069, 0.8862], [0.6687, 0.3742, 0.3121], [0.3313, 0.6258, 0.6879], [0.1687, 0.6258, 0.1879], [0.8313, 0.3742, 0.8121], [0.6175, 0.2139, 0.3157], [0.3825, 0.7861, 0.6843], [0.1175, 0.7861, 0.1843], [0.8825, 0.2139, 0.8157], [0.4874, 0.8691, 0.3796], [0.5126, 0.1309, 0.6204], [0.9874, 0.1309, 0.1204], [0.0126, 0.8691, 0.8796], [0.7671, 0.9521, 0.0157], [0.2329, 0.0479, 0.9843], [0.2671, 0.0479, 0.4843], [0.7329, 0.9521, 0.5157], [0.9938, 0.9459, 0.3616], [0.0062, 0.0541, 0.6384], [0.4938, 0.0541, 0.1384], [0.5062, 0.9459, 0.8616]]
}

---

Quick one: most stable of them? P